(1)
First-principles (SCAN) data for a crystal of SrLaZn2 relaxed with PBEsol, as listed in Alexandria via LeMat-Bulk.

a = 3.7676 Å, b = 3.7676 Å, c = 7.4706 Å
α = 90.00°, β = 90.00°, γ = 90.00°
Last column: nearest neighbours and their distance in Å.
Space group P4/mmm (No. 123)
Symmetry-distinct sites (fractional):
Sr  0.0000  0.0000  0.0000  8 Zn 3.35, 2 La 3.74
La  0.0000  0.0000  0.5000  8 Zn 3.16
Zn  0.5000  0.5000  0.2720  4 La 3.16, 4 Sr 3.35, 1 Zn 3.41

Summary:
Uncorrected energy, Ry per atom: -1.71985
Energy relative to the elements, eV/atom: -0.297
N(E_F), states/eV per atom: 0.695

---

(2)
First-principles (SCAN) data for a crystal of BePbF3 relaxed with PBEsol, as listed in Alexandria via LeMat-Bulk.

a = 4.6512 Å, b = 4.6512 Å, c = 4.6512 Å
α = 90.00°, β = 90.00°, γ = 90.00°
Last column: nearest neighbours and their distance in Å.
Space group Pm-3m (No. 221)
Symmetry-distinct sites (fractional):
Be  0.0000  0.0000  0.0000  12 F 3.29
Pb  0.5000  0.5000  0.5000  6 F 2.33
F  0.0000  0.5000  0.5000  2 Pb 2.33

Summary:
Uncorrected energy, Ry per atom: -1.41491
Formation energy from raw total energies, kJ per mole of atoms: -106.12
N(E_F), states/eV per atom: 0.137

---

(3)
First-principles (SCAN) data for a crystal of CsAgB2Se relaxed with PBEsol, as listed in Alexandria via LeMat-Bulk.

a = 4.4902 Å, b = 4.4902 Å, c = 5.4910 Å
α = 90.00°, β = 90.00°, γ = 90.00°
Last column: nearest neighbours and their distance in Å.
Space group P4/mmm (No. 123)
Symmetry-distinct sites (fractional):
Cs  0.0000  0.0000  0.0000  4 Se 3.18, 8 B 3.55
Ag  0.5000  0.5000  0.5000  4 B 2.25
B  0.0000  0.5000  0.5000  2 Ag 2.25
Se  0.5000  0.5000  0.0000  2 Ag 2.75

Summary:
Uncorrected energy, Ry per atom: -1.44026
Formation energy from raw total energies, kJ per mole of atoms: 118.41
N(E_F), states/eV per atom: 0.662

---

(4)
First-principles (SCAN) data for a crystal of KAl2NiP3H4O14 relaxed with PBEsol, as listed in Alexandria via LeMat-Bulk.

a = 13.0202 Å, b = 10.0175 Å, c = 8.7144 Å
α = 90.00°, β = 107.70°, γ = 90.00°
Last column: nearest neighbours and their distance in Å.
Space group C2/c (No. 15)
Symmetry-distinct sites (fractional):
K  0.0000  0.1353  0.2500  6 O 2.76-3.05
Al  0.1711  0.4243  0.5710  5 O 1.77-1.92
Ni  0.0000  0.2227  0.7500  6 O 1.99-2.13
P  0.0000  0.4972  0.7500  4 O 1.53-1.55
P  0.2092  0.1249  0.6768  4 O 1.52-1.56
H  0.1443  0.2790  0.0452  1 O 1.00
H  0.1483  0.1243  0.9957  1 O 0.99
O  0.0614  0.4107  0.3878  1 P 1.53
O  0.0738  0.3983  0.6954  1 P 1.55
O  0.0963  0.0948  0.6852  1 P 1.52
O  0.1001  0.2030  0.9855  2 H 0.99-1.00
O  0.2031  0.4137  0.1623  1 P 1.56, 1 H 1.72
O  0.2259  0.0421  0.5360  1 P 1.55
O  0.2339  0.2729  0.6552  1 P 1.54

Summary:
Uncorrected energy, Ry per atom: -0.67603
N(E_F), states/eV per atom: 0.000

---

(5)
First-principles (SCAN) data for a crystal of LiCoSbO4 relaxed with PBEsol, as listed in Alexandria via LeMat-Bulk.

a = 5.8217 Å, b = 6.1722 Å, c = 8.7332 Å
α = 90.00°, β = 90.00°, γ = 90.00°
Last column: nearest neighbours and their distance in Å.
Space group Imma (No. 74)
Symmetry-distinct sites (fractional):
Li  0.0000  0.2500  0.1435  4 O 2.01-2.02
Co  0.2500  0.2500  0.7500  6 O 2.05-2.14
Sb  0.0000  0.0000  0.5000  6 O 1.97-2.06
O  0.0000  0.0186  0.7256  1 Sb 1.97, 1 Li 2.01, 2 Co 2.05
O  0.2333  0.2500  0.5047  1 Li 2.02, 2 Sb 2.06, 1 Co 2.14

Summary:
Uncorrected energy, Ry per atom: -0.98111
Formation energy from raw total energies, kJ per mole of atoms: -159.35
Distance to the lowest polymorph of the same formula, eV/atom: 0.000

---

(6)
First-principles (SCAN) data for a crystal of PtW2Se relaxed with PBEsol, as listed in Alexandria via LeMat-Bulk.

a = 2.8635 Å, b = 3.9819 Å, c = 5.5319 Å
α = 90.00°, β = 90.00°, γ = 90.00°
Last column: nearest neighbours and their distance in Å.
Space group Pmm2 (No. 25)
Symmetry-distinct sites (fractional):
Pt  0.0000  0.0000  0.0000  6 W 2.65-2.79, 2 Pt 2.86
W  0.0000  0.0000  0.4962  4 Se 2.63, 2 Pt 2.75-2.79, 2 W 2.86
W  0.5000  0.5000  0.8202  4 Pt 2.65, 2 Se 2.75-2.79, 2 W 2.86
Se  0.5000  0.5000  0.3236  6 W 2.63-2.79, 2 Se 2.86

Summary:
Uncorrected energy, Ry per atom: -4.18931
Formation energy from raw total energies, kJ per mole of atoms: 39.89
N(E_F), states/eV per atom: 0.487

---

(7)
First-principles (SCAN) data for a crystal of Ir2RuPt relaxed with PBEsol, as listed in Alexandria via LeMat-Bulk.

a = 3.8354 Å, b = 3.8354 Å, c = 3.8226 Å
α = 90.00°, β = 90.00°, γ = 90.00°
Last column: nearest neighbours and their distance in Å.
Space group P4/mmm (No. 123)
Symmetry-distinct sites (fractional):
Ir  0.0000  0.5000  0.0000  4 Pt 2.71, 4 Ru 2.71, 4 Ir 2.71
Ru  0.0000  0.0000  0.5000  8 Ir 2.71, 4 Pt 2.71
Pt  0.5000  0.5000  0.5000  8 Ir 2.71, 4 Ru 2.71

Summary:
Uncorrected energy, Ry per atom: -4.53952
Energy relative to the elements, eV/atom: 0.041
N(E_F), states/eV per atom: 0.903
Distance to the lowest polymorph of the same formula, eV/atom: 0.048

---

(8)
First-principles (SCAN) data for a crystal of MgBe2Te relaxed with PBEsol, as listed in Alexandria via LeMat-Bulk.

a = 5.4648 Å, b = 6.7193 Å, c = 3.6062 Å
α = 90.00°, β = 90.17°, γ = 90.00°
Last column: nearest neighbours and their distance in Å.
Space group C2/m (No. 12)
Symmetry-distinct sites (fractional):
Mg  0.0000  0.0000  0.0000  2 Te 2.73, 8 Be 2.82
Be  0.2500  0.2500  0.5000  2 Be 2.73, 4 Mg 2.82, 4 Te 2.82
Te  0.0000  0.5000  0.0000  2 Mg 2.73, 8 Be 2.82

Summary:
Uncorrected energy, Ry per atom: -0.89824
Formation energy from raw total energies, kJ per mole of atoms: 49.39
N(E_F), states/eV per atom: 0.254
Distance to the lowest polymorph of the same formula, eV/atom: 0.069

---

(9)
First-principles (SCAN) data for a crystal of SrCaMo2 relaxed with PBEsol, as listed in Alexandria via LeMat-Bulk.

a = 3.0050 Å, b = 3.0050 Å, c = 32.2154 Å
α = 90.00°, β = 90.00°, γ = 120.00°
Last column: nearest neighbours and their distance in Å.
Space group R-3m (No. 166, hexagonal axes)
Symmetry-distinct sites (fractional):
Sr  0.0000  0.0000  0.0000  6 Sr 3.01, 6 Mo 3.27
Ca  0.0000  0.0000  0.5000  6 Ca 3.01, 6 Mo 3.13
Mo  0.0000  0.0000  0.2474  6 Mo 3.01, 3 Ca 3.13, 3 Sr 3.27

Summary:
Uncorrected energy, Ry per atom: -1.77166
Energy relative to the elements, eV/atom: 1.323
N(E_F), states/eV per atom: 0.831
Distance to the lowest polymorph of the same formula, eV/atom: 0.429

---

(10)
First-principles (SCAN) data for a crystal of AlCoP relaxed with PBEsol, as listed in Alexandria via LeMat-Bulk.

a = 5.3545 Å, b = 5.3545 Å, c = 5.3545 Å
α = 90.00°, β = 90.00°, γ = 90.00°
Last column: nearest neighbours and their distance in Å.
Space group F-43m (No. 216)
Symmetry-distinct sites (fractional):
Al  0.0000  0.0000  0.0000  4 Co 2.32
Co  0.2500  0.2500  0.2500  4 Al 2.32, 4 P 2.32
P  0.0000  0.0000  0.5000  4 Co 2.32

Summary:
Uncorrected energy, Ry per atom: -0.90488
Energy relative to the elements, eV/atom: -0.493
N(E_F), states/eV per atom: 0.394